A geometry-optimized Cs4Sn3IBr12 structure, computed with PBE.

```
data_Cs4Sn3IBr12
_chemical_formula_sum 'Cs8 Sn6 I2 Br24'
_space_group_name_H-M_alt 'I m -3 m'
_space_group_IT_number 229
_space_group_name_Hall '-I 4 2 3'
_cell_length_a 11.8111
_cell_length_b 11.8111
_cell_length_c 11.8111
_cell_angle_alpha 90.00
_cell_angle_beta 90.00
_cell_angle_gamma 90.00
loop_
_atom_site_label
_atom_site_type_symbol
_atom_site_fract_x
_atom_site_fract_y
_atom_site_fract_z
Cs1 Cs 0.2500 0.2500 0.2500
Sn1 Sn 0.0000 0.0000 0.5000
I1 I 0.0000 0.0000 0.0000
Br1 Br 0.0000 0.0000 0.2679
Br2 Br 0.0000 0.2500 0.5000
```

Computed properties:
The calculated total energy comes out at -0.1081 hartree per atom. As for the crystal system: cubic. The value obtained for the uncorrected formation energy is -21.79 eV per formula unit.


A geometry-optimized CsSnIBr2 structure, computed with PBE.

```
data_CsSnIBr2
_chemical_formula_sum 'Cs1 Sn1 I1 Br2'
_space_group_name_H-M_alt 'P 4/m m m'
_space_group_IT_number 123
_space_group_name_Hall '-P 4 2'
_cell_length_a 5.8911
_cell_length_b 5.8911
_cell_length_c 6.2986
_cell_angle_alpha 90.00
_cell_angle_beta 90.00
_cell_angle_gamma 90.00
loop_
_atom_site_label
_atom_site_type_symbol
_atom_site_fract_x
_atom_site_fract_y
_atom_site_fract_z
Cs1 Cs 0.0000 0.0000 0.0000
Sn1 Sn 0.5000 0.5000 0.5000
I1 I 0.5000 0.5000 0.0000
Br1 Br 0.0000 0.5000 0.5000
```

Computed properties:
The calculated total energy comes out at -0.1129 hartree per atom. As for the crystal system: tetragonal. The value obtained for the uncorrected formation energy is -5.60 eV per formula unit.


A geometry-optimized Cs3Sn2I4Br3 structure, computed with PBE.

```
data_Cs3Sn2I4Br3
_chemical_formula_sum 'Cs6 Sn4 I8 Br6'
_space_group_name_H-M_alt 'I m m 2'
_space_group_IT_number 44
_space_group_name_Hall 'I 2 -2'
_cell_length_a 5.9157
_cell_length_b 31.1675
_cell_length_c 6.2895
_cell_angle_alpha 90.00
_cell_angle_beta 90.00
_cell_angle_gamma 90.00
loop_
_atom_site_label
_atom_site_type_symbol
_atom_site_fract_x
_atom_site_fract_y
_atom_site_fract_z
Cs1 Cs 0.0000 0.0000 0.0000
Cs2 Cs 0.0000 0.1779 0.8926
Sn1 Sn 0.0000 0.4032 0.8993
I1 I 0.0000 0.3026 0.9018
I2 I 0.0000 0.4085 0.3963
Br1 Br 0.0000 0.0977 0.3884
Br2 Br 0.0000 0.5000 0.8877
```

Computed properties:
The calculated total energy comes out at -0.1094 hartree per atom. As for the crystal system: orthorhombic. The value obtained for the uncorrected formation energy is -13.94 eV per formula unit.


A geometry-optimized Cs2SnI2Br2 structure, computed with PBE.

```
data_Cs2SnI2Br2
_chemical_formula_sum 'Cs4 Sn2 I4 Br4'
_space_group_name_H-M_alt 'I 4/m m m'
_space_group_IT_number 139
_space_group_name_Hall '-I 4 2'
_cell_length_a 5.8962
_cell_length_b 5.8962
_cell_length_c 19.4298
_cell_angle_alpha 90.00
_cell_angle_beta 90.00
_cell_angle_gamma 90.00
loop_
_atom_site_label
_atom_site_type_symbol
_atom_site_fract_x
_atom_site_fract_y
_atom_site_fract_z
Cs1 Cs 0.0000 0.0000 0.1349
Sn1 Sn 0.0000 0.0000 0.5000
I1 I 0.0000 0.0000 0.3357
Br1 Br 0.0000 0.5000 0.0000
```

Computed properties:
The calculated total energy comes out at -0.1103 hartree per atom. As for the crystal system: tetragonal. The value obtained for the uncorrected formation energy is -8.86 eV per formula unit.


A geometry-optimized Cs2SnI2Br4 structure, computed with PBE.

```
data_Cs2SnI2Br4
_chemical_formula_sum 'Cs4 Sn2 I4 Br8'
_space_group_name_H-M_alt 'I 4/m m m'
_space_group_IT_number 139
_space_group_name_Hall '-I 4 2'
_cell_length_a 8.2414
_cell_length_b 8.2414
_cell_length_c 11.2407
_cell_angle_alpha 90.00
_cell_angle_beta 90.00
_cell_angle_gamma 90.00
loop_
_atom_site_label
_atom_site_type_symbol
_atom_site_fract_x
_atom_site_fract_y
_atom_site_fract_z
Cs1 Cs 0.0000 0.5000 0.2500
Sn1 Sn 0.0000 0.0000 0.0000
I1 I 0.0000 0.0000 0.2556
Br1 Br 0.2295 0.2295 0.0000
```

Computed properties:
The calculated total energy comes out at -0.1046 hartree per atom. As for the crystal system: tetragonal. The value obtained for the uncorrected formation energy is -10.12 eV per formula unit.


A geometry-optimized Cs2SnI6Br structure, computed with PBE.

```
data_Cs2SnI6Br
_chemical_formula_sum 'Cs4 Sn2 I12 Br2'
_space_group_name_H-M_alt 'I 4/m m m'
_space_group_IT_number 139
_space_group_name_Hall '-I 4 2'
_cell_length_a 8.9898
_cell_length_b 8.9898
_cell_length_c 11.9769
_cell_angle_alpha 90.00
_cell_angle_beta 90.00
_cell_angle_gamma 90.00
loop_
_atom_site_label
_atom_site_type_symbol
_atom_site_fract_x
_atom_site_fract_y
_atom_site_fract_z
Cs1 Cs 0.0000 0.5000 0.2500
Sn1 Sn 0.0000 0.0000 0.0000
I1 I 0.0000 0.0000 0.2468
I2 I 0.2300 0.2300 0.0000
Br1 Br 0.0000 0.0000 0.5000
```

Computed properties:
The calculated total energy comes out at -0.0892 hartree per atom. As for the crystal system: tetragonal. The value obtained for the uncorrected formation energy is -7.59 eV per formula unit.


A geometry-optimized Cs3Sr2I5Br2 structure, computed with PBE.

```
data_Cs3Sr2I5Br2
_chemical_formula_sum 'Cs6 Sr4 I10 Br4'
_space_group_name_H-M_alt 'I 4/m m m'
_space_group_IT_number 139
_space_group_name_Hall '-I 4 2'
_cell_length_a 6.4778
_cell_length_b 6.4778
_cell_length_c 30.8185
_cell_angle_alpha 90.00
_cell_angle_beta 90.00
_cell_angle_gamma 90.00
loop_
_atom_site_label
_atom_site_type_symbol
_atom_site_fract_x
_atom_site_fract_y
_atom_site_fract_z
Cs1 Cs 0.0000 0.0000 0.0000
Cs2 Cs 0.0000 0.0000 0.1833
Sr1 Sr 0.0000 0.0000 0.3933
I1 I 0.0000 0.0000 0.5000
I2 I 0.0000 0.5000 0.1002
Br1 Br 0.0000 0.0000 0.2974
```

Computed properties:
The calculated total energy comes out at -0.1146 hartree per atom. As for the crystal system: tetragonal. The value obtained for the uncorrected formation energy is -20.40 eV per formula unit.


A geometry-optimized Cs3Sr2I4Br3 structure, computed with PBE.

```
data_Cs3Sr2I4Br3
_chemical_formula_sum 'Cs6 Sr4 I8 Br6'
_space_group_name_H-M_alt 'I m m 2'
_space_group_IT_number 44
_space_group_name_Hall 'I 2 -2'
_cell_length_a 6.0114
_cell_length_b 31.5201
_cell_length_c 6.5033
_cell_angle_alpha 90.00
_cell_angle_beta 90.00
_cell_angle_gamma 90.00
loop_
_atom_site_label
_atom_site_type_symbol
_atom_site_fract_x
_atom_site_fract_y
_atom_site_fract_z
Cs1 Cs 0.0000 0.0000 0.0000
Cs2 Cs 0.0000 0.1796 0.8890
Sr1 Sr 0.0000 0.4034 0.8886
I1 I 0.0000 0.3005 0.8947
I2 I 0.0000 0.4088 0.3861
Br1 Br 0.0000 0.0968 0.3658
Br2 Br 0.0000 0.5000 0.8667
```

Computed properties:
The calculated total energy comes out at -0.1178 hartree per atom. As for the crystal system: orthorhombic. The value obtained for the uncorrected formation energy is -21.32 eV per formula unit.


A geometry-optimized Cs2SrI3Br structure, computed with PBE.

```
data_Cs2SrI3Br
_chemical_formula_sum 'Cs4 Sr2 I6 Br2'
_space_group_name_H-M_alt 'I m m m'
_space_group_IT_number 71
_space_group_name_Hall '-I 2 2'
_cell_length_a 5.9889
_cell_length_b 6.4140
_cell_length_c 19.7072
_cell_angle_alpha 90.00
_cell_angle_beta 90.00
_cell_angle_gamma 90.00
loop_
_atom_site_label
_atom_site_type_symbol
_atom_site_fract_x
_atom_site_fract_y
_atom_site_fract_z
Cs1 Cs 0.0000 0.0000 0.1405
Sr1 Sr 0.0000 0.0000 0.5000
I1 I 0.0000 0.0000 0.3340
I2 I 0.0000 0.5000 0.5000
Br1 Br 0.0000 0.5000 0.0000
```

Computed properties:
The calculated total energy comes out at -0.1135 hartree per atom. As for the crystal system: orthorhombic. The value obtained for the uncorrected formation energy is -11.91 eV per formula unit.


A geometry-optimized CsSrI2Br structure, computed with PBE.

```
data_CsSrI2Br
_chemical_formula_sum 'Cs1 Sr1 I2 Br1'
_space_group_name_H-M_alt 'P 4/m m m'
_space_group_IT_number 123
_space_group_name_Hall '-P 4 2'
_cell_length_a 6.5005
_cell_length_b 6.5005
_cell_length_c 5.9785
_cell_angle_alpha 90.00
_cell_angle_beta 90.00
_cell_angle_gamma 90.00
loop_
_atom_site_label
_atom_site_type_symbol
_atom_site_fract_x
_atom_site_fract_y
_atom_site_fract_z
Cs1 Cs 0.0000 0.0000 0.0000
Sr1 Sr 0.5000 0.5000 0.5000
I1 I 0.0000 0.5000 0.5000
Br1 Br 0.5000 0.5000 0.0000
```

Computed properties:
The calculated total energy comes out at -0.1181 hartree per atom. As for the crystal system: tetragonal. The value obtained for the uncorrected formation energy is -8.77 eV per formula unit.


A geometry-optimized Cs3Sr2I2Br5 structure, computed with PBE.

```
data_Cs3Sr2I2Br5
_chemical_formula_sum 'Cs6 Sr4 I4 Br10'
_space_group_name_H-M_alt 'I 4/m m m'
_space_group_IT_number 139
_space_group_name_Hall '-I 4 2'
_cell_length_a 6.0083
_cell_length_b 6.0083
_cell_length_c 31.4893
_cell_angle_alpha 90.00
_cell_angle_beta 90.00
_cell_angle_gamma 90.00
loop_
_atom_site_label
_atom_site_type_symbol
_atom_site_fract_x
_atom_site_fract_y
_atom_site_fract_z
Cs1 Cs 0.0000 0.0000 0.0000
Cs2 Cs 0.0000 0.0000 0.1782
Sr1 Sr 0.0000 0.0000 0.4037
I1 I 0.0000 0.0000 0.3003
Br1 Br 0.0000 0.0000 0.5000
Br2 Br 0.0000 0.5000 0.0933
```

Computed properties:
The calculated total energy comes out at -0.1225 hartree per atom. As for the crystal system: tetragonal. The value obtained for the uncorrected formation energy is -22.62 eV per formula unit.


Among the records above, which one has the highest calculated total energy? Cs2SnI6Br